No. 1
A geometry-optimized ZrNbPb2 structure. Source: Alexandria, functional PBE-GGA.

## Properties
Final energy   -0.4476 Ry per atom
Energy of formation from the pure elements   1.7 eV per formula unit
Total magnetic moment   0.0 μB per cell

Unit cell a=7.9251 b=7.9251 c=6.2983 alpha=90.00 beta=90.00 gamma=90.00
With the nearest neighbours (Å) after each atom.
Space group I-42d (No. 122)
Unique sites:
Zr 0.0000 0.0000 0.0000 x4  4 Pb 2.96, 2 Nb 3.15
Nb 0.0000 0.0000 0.5000 x4  4 Pb 2.86, 2 Zr 3.15
Pb 0.2410 0.7500 0.6250 x8  2 Nb 2.86, 2 Zr 2.96, 2 Pb 3.15



No. 2
A geometry-optimized Pr3Sc2Pb4 structure. Source: Alexandria, functional PBE-GGA.

## Properties
Final energy   -0.3755 Ry per atom
Energy of formation from the pure elements   -4.1 eV per formula unit
Total magnetic moment   0.0 μB per cell

Unit cell a=13.2128 b=4.6883 c=9.7268 alpha=90.00 beta=114.65 gamma=90.00
With the nearest neighbours (Å) after each atom.
Space group C2/m (No. 12)
Unique sites:
Pr 0.0000 0.0000 0.0000 x2  6 Pb 3.37-3.58
Pr 0.1255 0.5000 0.6957 x4  7 Pb 3.33-3.56, 3 Sc 3.61-3.67
Sc 0.1878 0.5000 0.3616 x4  4 Pb 2.89-3.05
Pb 0.0728 0.0000 0.3979 x4  3 Sc 2.89-3.05
Pb 0.1986 0.5000 0.0678 x4  1 Sc 2.92, 2 Pb 3.25



No. 3
A geometry-optimized Bi2As2Pb structure. Source: Alexandria, functional PBE-GGA.

## Properties
Final energy   -0.2966 Ry per atom
Energy of formation from the pure elements   0.6 eV per formula unit
Total magnetic moment   0.0 μB per cell

Unit cell a=8.3144 b=8.3144 c=3.9836 alpha=90.00 beta=90.00 gamma=90.00
With the nearest neighbours (Å) after each atom.
Space group P4/mbm (No. 127)
Unique sites:
Bi 0.1576 0.3424 0.0000 x4  2 As 2.94
As 0.1583 0.6583 0.5000 x4  2 Bi 2.94, 2 Pb 3.13
Pb 0.0000 0.0000 0.5000 x2  4 As 3.13